[1]
Entry from Alexandria via LeMat-Bulk: Li2MnOF3 at its PBEsol-relaxed geometry (meta-GGA SCAN).

Its energy relative to the elements, uncorrected is -2.80 eV per atom. The value obtained for the energy above the most stable polymorph in this dataset is 25 meV/atom. For the electronic total energy, the calculation gives -8.50 eV per atom.

The structure in CIF format:
```
data_Li2MnOF3
_chemical_formula_sum 'Li8 Mn4 O4 F12'
_cell_length_a 9.581
_cell_length_b 5.716
_cell_length_c 5.141
_cell_angle_alpha 90.00
_cell_angle_beta 92.07
_cell_angle_gamma 90.00
_symmetry_space_group_name_H-M 'C 1 2 1'
_symmetry_Int_Tables_number 5
loop_
_symmetry_equiv_pos_as_xyz
'x,y,z'
'-x,y,-z'
'x+1/2,y+1/2,z'
'-x+1/2,y+1/2,-z'
loop_
_atom_site_label
_atom_site_type_symbol
_atom_site_fract_x
_atom_site_fract_y
_atom_site_fract_z
Li1 Li 0.186 0.000 0.001
Li2 Li 0.210 0.279 0.478
Mn1 Mn 0.000 0.535 0.000
Mn2 Mn 0.000 0.779 0.500
O1 O 0.097 0.755 0.196
F1 F 0.129 0.295 0.130
F2 F 0.139 0.009 0.643
F3 F 0.141 0.537 0.671
```

[2]
Entry from Alexandria via LeMat-Bulk: RuRhBr at its PBEsol-relaxed geometry (meta-GGA SCAN).

Its energy relative to the elements, uncorrected is 0.71 eV per atom. For the electronic total energy, the calculation gives -28.64 eV per atom.

The structure in CIF format:
```
data_RuRhBr
_chemical_formula_sum 'Ru2 Rh2 Br2'
_cell_length_a 2.917
_cell_length_b 2.917
_cell_length_c 11.092
_cell_angle_alpha 90.00
_cell_angle_beta 90.00
_cell_angle_gamma 90.00
_symmetry_space_group_name_H-M 'I 4 m m'
_symmetry_Int_Tables_number 107
_symmetry_space_group_name_Hall 'I 4 -2'
loop_
_atom_site_label
_atom_site_type_symbol
_atom_site_fract_x
_atom_site_fract_y
_atom_site_fract_z
Ru1 Ru 0.000 0.000 0.000
Rh1 Rh 0.000 0.000 0.360
Br1 Br 0.000 0.000 0.667
```